The following is a GGA-PBEsol calculation of crystalline Li5SnP3 at its relaxed geometry, from the Alexandria database.

CIF file:
```
data_Li5SnP3
_cell_length_a 7.237
_cell_length_b 7.237
_cell_length_c 8.419
_cell_angle_alpha 106.75
_cell_angle_beta 106.75
_cell_angle_gamma 48.44
_space_group_name_H-M_alt 'P 1'
_space_group_IT_number 1
loop_
_space_group_symop_operation_xyz
'x,y,z'
loop_
_atom_site_label
_atom_site_type_symbol
_atom_site_fract_x
_atom_site_fract_y
_atom_site_fract_z
Li1 Li 0.085 0.575 0.910
Li2 Li 0.090 0.579 0.427
Li3 Li 0.248 0.752 0.750
Li4 Li 0.421 0.910 0.073
Li5 Li 0.425 0.915 0.590
Li6 Li 0.575 0.085 0.410
Li7 Li 0.579 0.090 0.927
Li8 Li 0.752 0.248 0.250
Li9 Li 0.910 0.421 0.573
Li10 Li 0.915 0.425 0.090
Sn1 Sn 0.265 0.735 0.250
Sn2 Sn 0.735 0.265 0.750
P1 P 0.000 0.000 0.000
P2 P 0.000 0.000 0.500
P3 P 0.324 0.345 0.172
P4 P 0.345 0.324 0.672
P5 P 0.655 0.676 0.328
P6 P 0.676 0.655 0.828
```

Summary:
- crystal system = monoclinic
- space-group type = No. 15
- ΔE_f (eV per formula unit) = -4.71

=====

The following is a GGA-PBEsol calculation of crystalline HgWO4 at its relaxed geometry, from the Alexandria database.

CIF file:
```
data_HgWO4
_cell_length_a 6.469
_cell_length_b 6.469
_cell_length_c 5.147
_cell_angle_alpha 110.95
_cell_angle_beta 110.95
_cell_angle_gamma 55.32
_space_group_name_H-M_alt 'P 1'
_space_group_IT_number 1
loop_
_space_group_symop_operation_xyz
'x,y,z'
loop_
_atom_site_label
_atom_site_type_symbol
_atom_site_fract_x
_atom_site_fract_y
_atom_site_fract_z
Hg1 Hg 0.000 0.500 0.000
Hg2 Hg 0.500 0.000 0.500
W1 W 0.187 0.813 0.750
W2 W 0.813 0.187 0.250
O1 O 0.003 0.187 0.030
O2 O 0.187 0.003 0.530
O3 O 0.251 0.514 0.522
O4 O 0.486 0.749 0.978
O5 O 0.514 0.251 0.022
O6 O 0.749 0.486 0.478
O7 O 0.813 0.997 0.470
O8 O 0.997 0.813 0.970
```

Summary:
- formation energy without anion corrections (eV/f.u.) = -9.1
- crystal system = monoclinic
- space-group type = No. 15

=====

The following is a GGA-PBEsol calculation of crystalline ZnAg2Mo at its relaxed geometry, from the Alexandria database.

CIF file:
```
data_ZnAg2Mo
_cell_length_a 5.559
_cell_length_b 5.559
_cell_length_c 2.598
_cell_angle_alpha 101.55
_cell_angle_beta 101.55
_cell_angle_gamma 121.06
_space_group_name_H-M_alt 'P 1'
_space_group_IT_number 1
loop_
_space_group_symop_operation_xyz
'x,y,z'
loop_
_atom_site_label
_atom_site_type_symbol
_atom_site_fract_x
_atom_site_fract_y
_atom_site_fract_z
Zn1 Zn 0.000 0.000 0.000
Ag1 Ag 0.000 0.500 0.500
Ag2 Ag 0.500 0.000 0.500
Mo1 Mo 0.500 0.500 0.000
```

Summary:
- crystal system = monoclinic
- space-group type = No. 12
- ΔE_f (eV per formula unit) = 1.42

=====

The following is a GGA-PBEsol calculation of crystalline SbTeCl3 at its relaxed geometry, from the Alexandria database.

CIF file:
```
data_SbTeCl3
_cell_length_a 5.352
_cell_length_b 5.352
_cell_length_c 5.352
_cell_angle_alpha 90.00
_cell_angle_beta 90.00
_cell_angle_gamma 90.00
_space_group_name_H-M_alt 'P 1'
_space_group_IT_number 1
loop_
_space_group_symop_operation_xyz
'x,y,z'
loop_
_atom_site_label
_atom_site_type_symbol
_atom_site_fract_x
_atom_site_fract_y
_atom_site_fract_z
Sb1 Sb 0.000 0.000 0.000
Te1 Te 0.500 0.500 0.500
Cl1 Cl 0.000 0.500 0.500
Cl2 Cl 0.500 0.000 0.500
Cl3 Cl 0.500 0.500 0.000
```

Summary:
- formation energy without anion corrections (eV/f.u.) = 0.9
- crystal system = cubic
- space-group type = No. 221

=====

The following is a GGA-PBEsol calculation of crystalline Sr4Sn9Au7 at its relaxed geometry, from the Alexandria database.

CIF file:
```
data_Sr4Sn9Au7
_cell_length_a 4.679
_cell_length_b 4.679
_cell_length_c 22.846
_cell_angle_alpha 90.00
_cell_angle_beta 90.00
_cell_angle_gamma 90.00
_space_group_name_H-M_alt 'P 1'
_space_group_IT_number 1
loop_
_space_group_symop_operation_xyz
'x,y,z'
loop_
_atom_site_label
_atom_site_type_symbol
_atom_site_fract_x
_atom_site_fract_y
_atom_site_fract_z
Sr1 Sr 0.000 0.500 0.117
Sr2 Sr 0.000 0.500 0.630
Sr3 Sr 0.500 0.000 0.370
Sr4 Sr 0.500 0.000 0.883
Sn1 Sn 0.000 0.000 0.245
Sn2 Sn 0.000 0.000 0.755
Sn3 Sn 0.000 0.500 0.428
Sn4 Sn 0.000 0.500 0.938
Sn5 Sn 0.500 0.000 0.062
Sn6 Sn 0.500 0.000 0.572
Sn7 Sn 0.500 0.500 0.245
Sn8 Sn 0.500 0.500 0.500
Sn9 Sn 0.500 0.500 0.755
Au1 Au 0.000 0.000 0.000
Au2 Au 0.000 0.000 0.500
Au3 Au 0.000 0.500 0.312
Au4 Au 0.000 0.500 0.821
Au5 Au 0.500 0.000 0.179
Au6 Au 0.500 0.000 0.688
Au7 Au 0.500 0.500 0.000
```

Summary:
- crystal system = tetragonal
- space-group type = No. 115
- ΔE_f (eV per formula unit) = -10.86

=====

The following is a GGA-PBEsol calculation of crystalline TaTlPb2 at its relaxed geometry, from the Alexandria database.

CIF file:
```
data_TaTlPb2
_cell_length_a 11.471
_cell_length_b 11.471
_cell_length_c 11.471
_cell_angle_alpha 16.05
_cell_angle_beta 16.05
_cell_angle_gamma 16.05
_space_group_name_H-M_alt 'P 1'
_space_group_IT_number 1
loop_
_space_group_symop_operation_xyz
'x,y,z'
loop_
_atom_site_label
_atom_site_type_symbol
_atom_site_fract_x
_atom_site_fract_y
_atom_site_fract_z
Ta1 Ta 0.000 0.000 0.000
Tl1 Tl 0.500 0.500 0.500
Pb1 Pb 0.260 0.260 0.260
Pb2 Pb 0.740 0.740 0.740
```

Summary:
- crystal system = trigonal
- space-group type = No. 166
- ΔE_f (eV per formula unit) = 1.30

=====

Calculated density, 2614; 9190; 9969; 3854; 9288; 13198 kg/m³ (same order as the records).
Calculated DOS at the Fermi energy, 0.1172; 0.0000; 0.6949; 1.1698; 0.3817; 0.6598 states/eV/atom (same order as the records).